[1]
The following is a DFT calculation (PBE) of a relaxed structure of TlCu5Se3.

The calculation puts the total magnetization at 0.00 μB per formula unit. The value obtained for the calculated volume is 666.4 Å³ per cell. As for the final energy: -3.850 eV per atom. Its density is 7.565 g/cm3. Its symmetry is P4_2/mnm (136).

Lattice parameters (Å, degrees): 12.9881 12.9881 3.9503 90.00 90.00 90.00
With the nearest neighbours (Å) after each atom.
Sites, in units of the cell vectors:
Tl: 0.1054 0.1054 0.0000  8 Se 3.36-3.46
Tl: 0.6054 0.3946 0.5000  8 Se 3.36-3.46
Tl: 0.3946 0.6054 0.5000  8 Se 3.36-3.46
Tl: 0.8946 0.8946 0.0000  8 Se 3.36-3.46
Cu: 0.1821 0.8179 0.0000  4 Se 2.44-2.62
Cu: 0.3179 0.3179 0.5000  4 Se 2.44-2.62
Cu: 0.6821 0.6821 0.5000  4 Se 2.44-2.62
Cu: 0.8179 0.1821 0.0000  4 Se 2.44-2.62
Cu: 0.4184 0.2104 0.0000  4 Se 2.43-2.63, 3 Cu 2.59-2.72
Cu: 0.7104 0.0816 0.5000  4 Se 2.43-2.63, 3 Cu 2.59-2.72
Cu: 0.2896 0.9184 0.5000  4 Se 2.43-2.63, 3 Cu 2.59-2.72
Cu: 0.5816 0.7896 0.0000  4 Se 2.43-2.63, 3 Cu 2.59-2.72
Cu: 0.0816 0.7104 0.5000  4 Se 2.43-2.63, 3 Cu 2.59-2.72
Cu: 0.9184 0.2896 0.5000  4 Se 2.43-2.63, 3 Cu 2.59-2.72
Cu: 0.2104 0.4184 0.0000  4 Se 2.43-2.63, 3 Cu 2.59-2.72
Cu: 0.7896 0.5816 0.0000  4 Se 2.43-2.63, 3 Cu 2.59-2.72
Cu: 0.3983 0.0122 0.0000  3 Se 2.46-2.58, 8 Cu 2.59-2.73
Cu: 0.5122 0.1017 0.5000  3 Se 2.46-2.58, 8 Cu 2.59-2.73
Cu: 0.4878 0.8983 0.5000  3 Se 2.46-2.58, 8 Cu 2.59-2.73
Cu: 0.6017 0.9878 0.0000  3 Se 2.46-2.58, 8 Cu 2.59-2.73
Cu: 0.1017 0.5122 0.5000  3 Se 2.46-2.58, 8 Cu 2.59-2.73
Cu: 0.8983 0.4878 0.5000  3 Se 2.46-2.58, 8 Cu 2.59-2.73
Cu: 0.0122 0.3983 0.0000  3 Se 2.46-2.58, 8 Cu 2.59-2.73
Cu: 0.9878 0.6017 0.0000  3 Se 2.46-2.58, 8 Cu 2.59-2.73
Se: 0.3962 0.3962 0.0000  4 Cu 2.43-2.44
Se: 0.8962 0.1038 0.5000  4 Cu 2.43-2.44
Se: 0.1038 0.8962 0.5000  4 Cu 2.43-2.44
Se: 0.6038 0.6038 0.0000  4 Cu 2.43-2.44
Se: 0.1765 0.6166 0.0000  7 Cu 2.46-2.63
Se: 0.1166 0.3235 0.5000  7 Cu 2.46-2.63
Se: 0.8834 0.6765 0.5000  7 Cu 2.46-2.63
Se: 0.8235 0.3834 0.0000  7 Cu 2.46-2.63
Se: 0.3235 0.1166 0.5000  7 Cu 2.46-2.63
Se: 0.6765 0.8834 0.5000  7 Cu 2.46-2.63
Se: 0.6166 0.1765 0.0000  7 Cu 2.46-2.63
Se: 0.3834 0.8235 0.0000  7 Cu 2.46-2.63

[2]
The following is a DFT calculation (PBE) of a relaxed structure of PuMgCuSi.

The calculation puts the total magnetization at 5.37 μB per formula unit. The value obtained for the calculated volume is 74.7 Å³ per cell. As for the final energy: -6.525 eV per atom. Its density is 8.003 g/cm3. Its symmetry is F-43m (216).

Lattice parameters (Å, degrees): 4.7268 4.7268 4.7268 60.00 60.00 60.00
With the nearest neighbours (Å) after each atom.
Sites, in units of the cell vectors:
Si: 0.7500 0.7500 0.7500  4 Pu 2.89, 4 Mg 2.89
Mg: 0.5000 0.5000 0.5000  4 Cu 2.89, 4 Si 2.89
Cu: 0.2500 0.2500 0.2500  4 Pu 2.89, 4 Mg 2.89
Pu: 0.0000 0.0000 0.0000  4 Si 2.89, 4 Cu 2.89

[3]
The following is a DFT calculation (PBE) of a relaxed structure of Al2RuAu.

The calculation puts the total magnetization at 0.00 μB per formula unit. The value obtained for the calculated volume is 60.3 Å³ per cell. The calculation puts the formation enthalpy at 0 K at -11.318 kcal/mol of atoms. As for the final energy: -5.500 eV per atom. Its density is 9.690 g/cm3. Its symmetry is Cm (8).

Lattice parameters (Å, degrees): 4.9218 4.9218 4.2923 74.36 74.36 37.24
With the nearest neighbours (Å) after each atom.
Sites, in units of the cell vectors:
Ru: 0.2601 0.2601 0.1801  7 Al 2.59-2.71
Au: 0.4979 0.4979 0.5554  7 Al 2.62-2.70
Al: 0.9900 0.9900 0.0641  3 Ru 2.59-2.70, 4 Au 2.65-2.67
Al: 0.7520 0.7520 0.7004  4 Ru 2.61-2.71, 3 Au 2.62-2.70

[4]
The following is a DFT calculation (PBE) of a relaxed structure of BiTe2RuN.

The calculation puts the total magnetization at 0.00 μB per formula unit. The value obtained for the calculated volume is 115.0 Å³ per cell. As for the final energy: -5.327 eV per atom. Its density is 8.361 g/cm3. Its symmetry is P4/mmm (123). The value obtained for the energy above the most stable polymorph in this dataset is 0 meV per atom.

Lattice parameters (Å, degrees): 5.5565 5.5565 3.7261 90.00 90.00 90.00
With the nearest neighbours (Å) after each atom.
Sites, in units of the cell vectors:
Ru: 0.0000 0.0000 0.0000  2 N 1.86
Te: 0.0000 0.5000 0.0000  2 Ru 2.78
Te: 0.5000 0.0000 0.0000  2 Ru 2.78
Bi: 0.5000 0.5000 0.5000  8 Te 3.35, 2 Bi 3.73
N: 0.0000 0.0000 0.5000  2 Ru 1.86

[5]
The following is a DFT calculation (PBE) of a relaxed structure of MgZrI.

The calculation puts the total magnetization at 0.00 μB per formula unit. The value obtained for the calculated volume is 178.4 Å³ per cell. As for the final energy: -4.140 eV per atom. Its density is 4.513 g/cm3. Its symmetry is P1 (1). The value obtained for the energy above the most stable polymorph in this dataset is 60 meV per atom.

Lattice parameters (Å, degrees): 3.6388 3.6394 15.5723 87.72 87.60 60.00
With the nearest neighbours (Å) after each atom.
Sites, in units of the cell vectors:
Mg: 0.6506 0.5041 0.9703  3 I 2.85
Mg: 0.0035 0.8545 0.8108  3 Zr 3.25, 3 Mg 3.25
Zr: 0.6911 0.5382 0.6514  3 Zr 3.14, 3 Mg 3.25
Zr: 0.0435 0.8877 0.5012  3 I 2.95, 3 Zr 3.14
I: 0.3936 0.2354 0.3677  3 Zr 2.95
I: 0.9683 0.8242 0.0939  3 Mg 2.85

[6]
The following is a DFT calculation (PBE) of a relaxed structure of TiNi3Au.

The calculation puts the total magnetization at 0.00 μB per formula unit. The value obtained for the calculated volume is 68.7 Å³ per cell. The calculation puts the formation enthalpy at 0 K at -3.629 kcal/mol of atoms. As for the final energy: -5.861 eV per atom. Its density is 10.179 g/cm3. Its symmetry is Imm2 (44). The value obtained for the energy above the most stable polymorph in this dataset is 0 meV per atom.

Lattice parameters (Å, degrees): 3.9599 4.7771 4.7771 59.96 65.48 65.48
With the nearest neighbours (Å) after each atom.
Sites, in units of the cell vectors:
Ti: 0.7755 0.4469 0.4469  8 Ni 2.52-2.71, 1 Au 2.78
Ni: 0.4737 0.0066 0.4917  4 Ni 2.32-2.46, 1 Ti 2.52
Ni: 0.9250 0.7979 0.7979  4 Ni 2.36, 2 Ti 2.62
Ni: 0.4737 0.4917 0.0066  4 Ni 2.32-2.46, 1 Ti 2.52
Au: 0.1592 0.0640 0.0640  8 Ni 2.60-2.77, 1 Ti 2.78

[7]
The following is a DFT calculation (PBE) of a relaxed structure of TlCd2Ge2.

The calculation puts the total magnetization at 0.00 μB per formula unit. The value obtained for the calculated volume is 124.3 Å³ per cell. The calculation puts the formation enthalpy at 0 K at 2.220 kcal/mol of atoms. As for the final energy: -2.590 eV per atom. Its density is 7.677 g/cm3. Its symmetry is I4/mmm (139). The value obtained for the energy above the most stable polymorph in this dataset is 0 meV per atom.

Lattice parameters (Å, degrees): 4.6779 4.6779 6.5715 69.15 69.15 90.00
With the nearest neighbours (Å) after each atom.
Sites, in units of the cell vectors:
Tl: 0.0000 0.0000 0.0000  8 Ge 3.53, 8 Cd 3.68
Ge: 0.3908 0.3908 0.2184  1 Ge 2.48
Ge: 0.6092 0.6092 0.7816  1 Ge 2.48
Cd: 0.7500 0.2500 0.5000  4 Ge 2.83
Cd: 0.2500 0.7500 0.5000  4 Ge 2.83

[8]
The following is a DFT calculation (PBE) of a relaxed structure of PrNd2HoBi5.

The calculation puts the total magnetization at 0.00 μB per formula unit. The value obtained for the calculated volume is 375.9 Å³ per cell. The calculation puts the formation enthalpy at 0 K at 0.381 kcal/mol of atoms. As for the final energy: -4.239 eV per atom. Its density is 7.241 g/cm3. Its symmetry is P4/mmm (123).

Lattice parameters (Å, degrees): 5.6056 5.6056 11.9630 90.00 90.00 90.00
With the nearest neighbours (Å) after each atom.
Sites, in units of the cell vectors:
Pr: 0.0000 0.0000 0.5000  6 Bi 2.80-3.09
Nd: 0.5000 0.5000 0.2753  1 Bi 3.29
Nd: 0.5000 0.5000 0.7247  1 Bi 3.29
Ho: 0.0000 0.0000 0.0000  2 Bi 2.89
Bi: 0.0000 0.5000 0.5000  2 Pr 2.80
Bi: 0.5000 0.0000 0.5000  2 Pr 2.80
Bi: 0.0000 0.0000 0.7582  1 Ho 2.89, 1 Pr 3.09
Bi: 0.0000 0.0000 0.2418  1 Ho 2.89, 1 Pr 3.09
Bi: 0.5000 0.5000 0.0000  2 Nd 3.29

Question: Look up the final energy of the fourth one.
Answer: -5.327 eV per atom

Question: Among the records above, which one has the highest final energy?
Answer: TlCd2Ge2

What did the fifth record say?
The following is a DFT calculation (PBE) of a relaxed structure of MgZrI.

The calculation puts the total magnetization at 0.00 μB per formula unit. The value obtained for the calculated volume is 178.4 Å³ per cell. As for the final energy: -4.140 eV per atom. Its density is 4.513 g/cm3. Its symmetry is P1 (1). The value obtained for the energy above the most stable polymorph in this dataset is 60 meV per atom.

Lattice parameters (Å, degrees): 3.6388 3.6394 15.5723 87.72 87.60 60.00
With the nearest neighbours (Å) after each atom.
Sites, in units of the cell vectors:
Mg: 0.6506 0.5041 0.9703  3 I 2.85
Mg: 0.0035 0.8545 0.8108  3 Zr 3.25, 3 Mg 3.25
Zr: 0.6911 0.5382 0.6514  3 Zr 3.14, 3 Mg 3.25
Zr: 0.0435 0.8877 0.5012  3 I 2.95, 3 Zr 3.14
I: 0.3936 0.2354 0.3677  3 Zr 2.95
I: 0.9683 0.8242 0.0939  3 Mg 2.85